[1]
# TbSiPd4

Crystalline TbSiPd4 at its relaxed geometry (PBE-GGA, the Alexandria database).

Values from the calculation:
E_tot: -0.2172 Ha/atom
N(E_F): 0.138 states/eV per atom
formation energy (no corrections): -0.77 eV per atom
total magnetization: 0.00 μB per atom

Geometry as POSCAR:
```
TbSiPd4
1.0
-3.803 0.348 0.450
-0.361 -6.594 2.056
1.073 2.231 7.344
Tb Si Pd
2 2 8
Direct
0.000 0.633 0.750
0.000 0.367 0.250
0.000 0.206 0.750
0.000 0.794 0.250
0.000 0.000 0.500
0.000 0.000 0.000
0.500 0.947 0.750
0.500 0.053 0.250
0.500 0.693 0.063
0.500 0.307 0.937
0.500 0.693 0.437
0.500 0.307 0.563
```



[2]
# TbSi2Pd2

Crystalline TbSi2Pd2 at its relaxed geometry (PBE-GGA, the Alexandria database).

Values from the calculation:
E_tot: -0.2248 Ha/atom
N(E_F): 0.620 states/eV per atom
formation energy (no corrections): -0.95 eV per atom
total magnetization: 0.00 μB per atom

Geometry as POSCAR:
```
TbSi2Pd2
1.0
5.791 -0.002 0.000
2.799 5.069 0.000
-4.295 -2.534 2.944
Tb Si Pd
1 2 2
Direct
0.000 0.000 0.000
0.383 0.383 0.000
0.617 0.617 0.000
0.250 0.750 0.500
0.750 0.250 0.500
```